This record from the Alexandria database describes an optimized crystal structure of Dy8In2Co. The functional is PBE.

Properties
The calculation puts the total energy at -4.69 eV/atom. The mass density comes out at 8.81 g/cm³. For the spin magnetization, the calculation gives 0.0000 μB/atom. For the density of states at the Fermi level, the calculation gives 20.8 states/eV/cell.

a = 17.176 Å, b = 5.505 Å, c = 6.882 Å
α = 90.00°, β = 113.08°, γ = 90.00°
Space group C2/m (No. 12)
One atom of each set of equivalent atoms:
Dy  0.005  0.000  0.263 [4 per cell]
Dy  0.110  0.500  0.892 [4 per cell]
Dy  0.131  0.500  0.392 [4 per cell]
Dy  0.196  0.000  0.726 [4 per cell]
In  0.184  0.000  0.189 [4 per cell]
Co  0.000  0.500  0.500 [2 per cell]

This record from the Alexandria database describes an optimized crystal structure of Pa2CuPN5. The functional is PBE.

Properties
The calculation puts the total energy at -8.58 eV/atom. The mass density comes out at 9.41 g/cm³. As for the uncorrected formation energy: -0.79 eV/atom. For the spin magnetization, the calculation gives 0.0000 μB/atom. For the density of states at the Fermi level, the calculation gives 8.6 states/eV/cell.

a = 3.208 Å, b = 13.141 Å, c = 10.489 Å
α = 90.00°, β = 90.00°, γ = 90.00°
Space group Cmc2_1 (No. 36)
One atom of each set of equivalent atoms:
Pa  0.000  0.120  0.000 [4 per cell]
Pa  0.000  0.154  0.667 [4 per cell]
Cu  0.000  0.202  0.397 [4 per cell]
P  0.000  0.439  0.747 [4 per cell]
N  0.000  0.048  0.330 [4 per cell]
N  0.000  0.289  0.025 [4 per cell]
N  0.000  0.330  0.671 [4 per cell]
N  0.000  0.349  0.338 [4 per cell]
N  0.000  0.486  0.120 [4 per cell]

This record from the Alexandria database describes an optimized crystal structure of La2Au. The functional is PBE.

Properties
The calculation puts the total energy at -4.18 eV/atom. The mass density comes out at 8.88 g/cm³. For the spin magnetization, the calculation gives 0.0000 μB/atom. For the density of states at the Fermi level, the calculation gives 39.0 states/eV/cell.

a = 8.922 Å, b = 8.922 Å, c = 8.922 Å
α = 90.00°, β = 90.00°, γ = 90.00°
Space group Fd-3m (No. 227, origin choice 2)
One atom of each set of equivalent atoms:
La  0.000  0.000  0.000 [16 per cell]
Au  0.125  0.125  0.625 [8 per cell]

This record from the Alexandria database describes an optimized crystal structure of InTcNi2. The functional is PBE.

Properties
The calculation puts the total energy at -5.98 eV/atom. The mass density comes out at 9.70 g/cm³. For the spin magnetization, the calculation gives 0.2090 μB/atom. For the density of states at the Fermi level, the calculation gives 9.2 states/eV/cell.

a = 2.787 Å, b = 4.482 Å, c = 9.054 Å
α = 90.00°, β = 90.00°, γ = 90.00°
Space group Imm2 (No. 44)
One atom of each set of equivalent atoms:
In  0.000  0.000  0.000 [2 per cell]
Tc  0.000  0.500  0.223 [2 per cell]
Ni  0.000  0.000  0.480 [2 per cell]
Ni  0.000  0.500  0.753 [2 per cell]

This record from the Alexandria database describes an optimized crystal structure of CuAg12Au7. The functional is PBE.

Properties
The calculation puts the total energy at -3.03 eV/atom. The mass density comes out at 12.21 g/cm³. For the spin magnetization, the calculation gives 0.0000 μB/atom. For the density of states at the Fermi level, the calculation gives 15.6 states/eV/cell.

a = 12.2089 Å, b = 12.2089 Å, c = 8.6532 Å
α = 90.00°, β = 90.00°, γ = 120.00°
Space group R-3 (No. 148, hexagonal axes)
One atom of each set of equivalent atoms:
Cu  0.0000  0.0000  0.0000 [3 per cell]
Ag  0.0522  0.2454  0.5790 [18 per cell]
Ag  0.0547  0.2148  0.2537 [18 per cell]
Au  0.0000  0.0000  0.5000 [3 per cell]
Au  0.0644  0.2356  0.9190 [18 per cell]

This record from the Alexandria database describes an optimized crystal structure of MgIn2Pb9. The functional is PBE.

Properties
The calculation puts the total energy at -3.36 eV/atom. The mass density comes out at 9.71 g/cm³. For the spin magnetization, the calculation gives 0.0000 μB/atom. For the density of states at the Fermi level, the calculation gives 5.8 states/eV/cell.

a = 4.932 Å, b = 4.932 Å, c = 14.905 Å
α = 90.00°, β = 90.00°, γ = 90.00°
Space group P4/mmm (No. 123)
One atom of each set of equivalent atoms:
Mg  0.000  0.000  0.000 [1 per cell]
In  0.000  0.000  0.332 [2 per cell]
Pb  0.000  0.500  0.162 [4 per cell]
Pb  0.000  0.500  0.500 [2 per cell]
Pb  0.500  0.500  0.000 [1 per cell]
Pb  0.500  0.500  0.330 [2 per cell]